1.
Entry from Alexandria: a relaxed structure of LiPrAu2 (PBE-GGA).

Cell: 5.024 5.024 5.024 Å, 60.00 60.00 60.00°
Atoms (fractional coordinates):
Li 0.000 0.000 0.000
Pr 0.500 0.500 0.500
Au 0.250 0.250 0.250
Au 0.750 0.750 0.750

## Properties
- Energy: -3.9581 eV per atom
- Energy of formation: -249 kJ/mol of formula units

---

2.
Entry from Alexandria: a relaxed structure of LiPrAu (PBE-GGA).

Cell: 4.897 4.897 4.897 Å, 60.00 60.00 60.00°
Atoms (fractional coordinates):
Li 0.000 0.000 0.000
Pr 0.500 0.500 0.500
Au 0.750 0.750 0.750

## Properties
- Energy: -3.7185 eV per atom
- Energy of formation: -114 kJ/mol of formula units